Entry from the Alexandria database: TlSbS2 at its PBEsol-relaxed geometry (SCAN).

abc: 6.1530 6.0293 6.8921
angles: 58.33 76.76 91.66
Fractional positions:
S (0.6710, 0.2920, 0.2480)
S (0.2160, 0.9152, 0.1732)
S (0.7840, 0.0848, 0.8268)
S (0.3290, 0.7080, 0.7520)
Tl (0.1448, 0.3443, 0.2848)
Tl (0.8552, 0.6557, 0.7152)
Sb (0.4200, 0.1273, 0.7195)
Sb (0.5800, 0.8727, 0.2805)

Summary:
The space-group type is No. 2. The calculation puts the magnetization at 0.0 μB/f.u. Its formation energy without anion corrections is -342 meV per atom.

---

Entry from the Alexandria database: SrLa2Hg2 at its PBEsol-relaxed geometry (SCAN).

abc: 3.8957 8.9661 8.9661
angles: 90.00 90.00 90.00
Fractional positions:
Sr (0.0000, 0.5000, 0.5000)
Sr (0.0000, 0.0000, 0.0000)
La (0.5000, 0.3377, 0.1623)
La (0.5000, 0.8377, 0.3377)
La (0.5000, 0.6623, 0.8377)
La (0.5000, 0.1623, 0.6623)
Hg (0.0000, 0.3686, 0.8686)
Hg (0.0000, 0.6314, 0.1314)
Hg (0.0000, 0.1314, 0.3686)
Hg (0.0000, 0.8686, 0.6314)

Summary:
The space-group type is No. 127. The value obtained for the final energy is -49.5392 eV/atom. The calculation puts the magnetization at 0.0 μB/f.u. As for the density of states at the Fermi level: 0.77 states/eV/atom.

---

Entry from the Alexandria database: SiTe at its PBEsol-relaxed geometry (SCAN).

abc: 3.9847 4.2045 6.0706
angles: 97.75 109.16 90.00
Fractional positions:
Te (0.1428, 0.1731, 0.2857)
Te (0.8572, 0.8269, 0.7143)
Si (0.3901, 0.4271, 0.7803)
Si (0.6099, 0.5729, 0.2197)

Summary:
The space-group type is No. 12. The calculation puts the magnetization at 0.0 μB/f.u. As for the density of states at the Fermi level: 0.26 states/eV/atom. Its formation energy without anion corrections is 292 meV per atom.

---

Entry from the Alexandria database: SiAgPt2 at its PBEsol-relaxed geometry (SCAN).

abc: 2.8949 3.8105 5.5895
angles: 90.00 103.49 90.00
Fractional positions:
Pt (0.1248, 0.0000, 0.7717)
Pt (0.8752, 0.0000, 0.2283)
Si (0.5000, 0.5000, 0.0000)
Ag (0.5000, 0.5000, 0.5000)

Summary:
The space-group type is No. 10. The calculation puts the magnetization at 0.0 μB/f.u. As for the density of states at the Fermi level: 0.30 states/eV/atom. Its formation energy without anion corrections is -285 meV per atom.

---

Entry from the Alexandria database: Ce2HgPb at its PBEsol-relaxed geometry (SCAN).

abc: 5.3718 5.3718 5.3718
angles: 60.00 60.00 60.00
Fractional positions:
Pb (0.0000, 0.0000, 0.0000)
Hg (0.5000, 0.5000, 0.5000)
Ce (0.2500, 0.2500, 0.2500)
Ce (0.7500, 0.7500, 0.7500)

Summary:
The space-group type is No. 225. The value obtained for the final energy is -58.8459 eV/atom. The calculation puts the magnetization at 3.2 μB/f.u. As for the density of states at the Fermi level: 1.85 states/eV/atom.

---

Entry from the Alexandria database: Y2InPb at its PBEsol-relaxed geometry (SCAN).

abc: 4.1597 4.7101 6.2584
angles: 112.11 109.41 90.00
Fractional positions:
Y (0.9973, 0.4973, 0.9946)
Y (0.7532, 0.7532, 0.5063)
Pb (0.2371, 0.2371, 0.4743)
In (0.5124, 0.0124, 0.0248)

Summary:
The space-group type is No. 44. The value obtained for the final energy is -41.8929 eV/atom. The calculation puts the magnetization at 0.0 μB/f.u. As for the density of states at the Fermi level: 0.56 states/eV/atom.

---

Entry from the Alexandria database: KBeW2 at its PBEsol-relaxed geometry (SCAN).

abc: 2.6104 2.9981 9.0501
angles: 90.00 90.00 90.00
Fractional positions:
Be (0.5000, 0.5000, 0.0000)
W (0.0000, 0.0000, 0.1574)
W (0.0000, 0.0000, 0.8426)
K (0.5000, 0.5000, 0.5000)

Summary:
The space-group type is No. 47. The value obtained for the final energy is -37.0263 eV/atom. The calculation puts the magnetization at 0.0 μB/f.u. As for the density of states at the Fermi level: 0.51 states/eV/atom.

---

Entry from the Alexandria database: Al2IrW at its PBEsol-relaxed geometry (SCAN).

abc: 4.3045 4.3045 4.3045
angles: 60.00 60.00 60.00
Fractional positions:
Al (0.7500, 0.7500, 0.7500)
Al (0.2500, 0.2500, 0.2500)
W (0.5000, 0.5000, 0.5000)
Ir (0.0000, 0.0000, 0.0000)

Summary:
For the energy relative to the lowest polymorph listed for this composition, the calculation gives 8.7 kJ/mol of atoms. The space-group type is No. 225. The calculation puts the magnetization at 0.0 μB/f.u. As for the density of states at the Fermi level: 1.34 states/eV/atom.

---

Entry from the Alexandria database: LiH4SNO4 at its PBEsol-relaxed geometry (SCAN).

abc: 5.1722 8.8221 9.2040
angles: 90.00 90.00 90.00
Fractional positions:
Li (0.2667, 0.3251, 0.0909)
Li (0.7667, 0.6749, 0.9091)
Li (0.7667, 0.1749, 0.5909)
Li (0.2667, 0.8251, 0.4091)
O (0.0407, 0.2427, 0.9454)
O (0.7679, 0.4588, 0.8927)
O (0.0407, 0.7427, 0.5546)
O (0.1674, 0.2849, 0.2875)
O (0.7679, 0.9588, 0.6073)
O (0.6095, 0.7553, 0.4532)
O (0.1674, 0.7849, 0.2125)
O (0.6674, 0.7151, 0.7125)
O (0.1095, 0.7447, 0.9532)
O (0.1095, 0.2447, 0.5468)
O (0.2679, 0.0412, 0.3927)
O (0.5407, 0.2573, 0.4454)
O (0.2679, 0.5412, 0.1073)
O (0.6095, 0.2553, 0.0468)
O (0.6674, 0.2151, 0.7875)
O (0.5407, 0.7573, 0.0546)
S (0.2695, 0.2074, 0.4172)
S (0.7695, 0.7926, 0.5828)
S (0.7695, 0.2926, 0.9172)
S (0.2695, 0.7074, 0.0828)
H (0.1151, 0.9876, 0.6988)
H (0.1686, 0.0936, 0.8486)
H (0.7122, 0.6004, 0.3524)
H (0.4233, 0.0153, 0.7589)
H (0.9233, 0.4847, 0.2589)
H (0.4233, 0.5153, 0.7411)
H (0.1686, 0.5936, 0.6514)
H (0.6686, 0.4064, 0.3486)
H (0.7122, 0.1004, 0.1476)
H (0.2122, 0.8996, 0.8524)
H (0.6151, 0.0124, 0.3012)
H (0.2122, 0.3996, 0.6476)
H (0.1151, 0.4876, 0.8012)
H (0.9233, 0.9847, 0.2411)
H (0.6151, 0.5124, 0.1988)
H (0.6686, 0.9064, 0.1514)
N (0.7331, 0.0015, 0.2106)
N (0.2331, 0.4985, 0.7106)
N (0.7331, 0.5015, 0.2894)
N (0.2331, 0.9985, 0.7894)

Summary:
For the energy relative to the lowest polymorph listed for this composition, the calculation gives 0.2 kJ/mol of atoms. The space-group type is No. 33. The calculation puts the magnetization at 0.0 μB/f.u. As for the density of states at the Fermi level: 0.00 states/eV/atom.

---

Entry from the Alexandria database: SrSc2Zn at its PBEsol-relaxed geometry (SCAN).

abc: 3.5197 3.5197 8.3055
angles: 90.00 90.00 90.00
Fractional positions:
Zn (0.5000, 0.5000, 0.1926)
Sc (0.0000, 0.0000, 0.0371)
Sc (0.5000, 0.5000, 0.8076)
Sr (0.0000, 0.0000, 0.4628)

Summary:
The space-group type is No. 99. The value obtained for the final energy is -16.1303 eV/atom. The calculation puts the magnetization at 1.9 μB/f.u. As for the density of states at the Fermi level: 0.77 states/eV/atom.

---

Entry from the Alexandria database: TmLuTl2 at its PBEsol-relaxed geometry (SCAN).

abc: 5.1924 5.1924 5.1924
angles: 60.00 60.00 60.00
Fractional positions:
Tl (0.2500, 0.2500, 0.2500)
Tl (0.7500, 0.7500, 0.7500)
Tm (0.0000, 0.0000, 0.0000)
Lu (0.5000, 0.5000, 0.5000)

Summary:
The space-group type is No. 225. The value obtained for the final energy is -63.4313 eV/atom. The calculation puts the magnetization at 0.0 μB/f.u. As for the density of states at the Fermi level: 0.67 states/eV/atom.

---

Entry from the Alexandria database: Be3Ru2 at its PBEsol-relaxed geometry (SCAN).

abc: 4.5445 4.5445 5.9058
angles: 101.40 101.40 119.10
Fractional positions:
Be (0.2581, 0.7581, 0.5000)
Be (0.4375, 0.0764, 0.2671)
Be (0.8093, 0.1704, 0.7329)
Be (0.4204, 0.5593, 0.2329)
Be (0.0081, 0.0081, 0.0000)
Be (0.3264, 0.1875, 0.7671)
Ru (0.9927, 0.1424, 0.3899)
Ru (0.8527, 0.5025, 0.1101)
Ru (0.3924, 0.7427, 0.8899)
Ru (0.7525, 0.6027, 0.6101)

Summary:
For the energy relative to the lowest polymorph listed for this composition, the calculation gives 0.0 kJ/mol of atoms. The space-group type is No. 43. The calculation puts the magnetization at 0.0 μB/f.u. As for the density of states at the Fermi level: 0.50 states/eV/atom.

---

Entry from the Alexandria database: YGaPt at its PBEsol-relaxed geometry (SCAN).

abc: 4.3905 6.8389 7.5658
angles: 90.00 90.00 90.00
Fractional positions:
Pt (0.7500, 0.2204, 0.0964)
Pt (0.2500, 0.2796, 0.5964)
Pt (0.2500, 0.7796, 0.9036)
Pt (0.7500, 0.7204, 0.4036)
Y (0.7500, 0.9863, 0.6988)
Y (0.2500, 0.5137, 0.1988)
Y (0.2500, 0.0137, 0.3012)
Y (0.7500, 0.4863, 0.8012)
Ga (0.7500, 0.8261, 0.0768)
Ga (0.7500, 0.3261, 0.4232)
Ga (0.2500, 0.6739, 0.5768)
Ga (0.2500, 0.1739, 0.9232)

Summary:
The space-group type is No. 62. The value obtained for the final energy is -39.4771 eV/atom. The calculation puts the magnetization at 0.0 μB/f.u. As for the density of states at the Fermi level: 0.47 states/eV/atom.

---

Entry from the Alexandria database: Cs3CrBi at its PBEsol-relaxed geometry (SCAN).

abc: 7.3140 7.3140 7.3140
angles: 90.00 90.00 90.00
Fractional positions:
Cr (0.5000, 0.5000, 0.5000)
Bi (0.0000, 0.0000, 0.0000)
Cs (0.5000, 0.0000, 0.0000)
Cs (0.0000, 0.5000, 0.0000)
Cs (0.0000, 0.0000, 0.5000)

Summary:
The space-group type is No. 221. The value obtained for the final energy is -41.7167 eV/atom. The calculation puts the magnetization at 6.0 μB/f.u. As for the density of states at the Fermi level: 0.77 states/eV/atom.

---

Entry from the Alexandria database: YAgTe2 at its PBEsol-relaxed geometry (SCAN).

abc: 3.8357 3.8481 7.1916
angles: 100.68 90.00 90.00
Fractional positions:
Te (0.0000, 0.8706, 0.2562)
Te (0.0000, 0.1294, 0.7438)
Ag (0.5000, 0.5000, 0.0000)
Y (0.5000, 0.5000, 0.5000)

Summary:
The space-group type is No. 10. The calculation puts the magnetization at 0.0 μB/f.u. As for the density of states at the Fermi level: 0.31 states/eV/atom. Its formation energy without anion corrections is -760 meV per atom.

---

Entry from the Alexandria database: Cr2NiAu at its PBEsol-relaxed geometry (SCAN).

abc: 3.7638 3.7660 4.5329
angles: 114.55 114.53 90.00
Fractional positions:
Cr (0.0002, 0.0002, 0.0003)
Cr (0.7498, 0.2498, 0.4997)
Ni (0.4999, 0.4999, 0.9998)
Au (0.2501, 0.7501, 0.5002)

Summary:
For the energy relative to the lowest polymorph listed for this composition, the calculation gives 0.0 kJ/mol of atoms. The space-group type is No. 119. The calculation puts the magnetization at 0.4 μB/f.u. As for the density of states at the Fermi level: 1.24 states/eV/atom.

---

Entry from the Alexandria database: LiLa2SbF at its PBEsol-relaxed geometry (SCAN).

abc: 4.4795 5.3813 5.3813
angles: 90.00 90.00 90.00
Fractional positions:
La (0.0000, 0.5000, 0.0000)
La (0.0000, 0.0000, 0.5000)
Li (0.0000, 0.0000, 0.0000)
Sb (0.5000, 0.0000, 0.0000)
F (0.5000, 0.5000, 0.5000)

Summary:
The space-group type is No. 123. The calculation puts the magnetization at 0.0 μB/f.u. As for the density of states at the Fermi level: 0.60 states/eV/atom. Its formation energy without anion corrections is -766 meV per atom.

---

Entry from the Alexandria database: CaH3Ir at its PBEsol-relaxed geometry (SCAN).

abc: 3.6360 3.6360 3.6360
angles: 90.00 90.00 90.00
Fractional positions:
Ir (0.0000, 0.0000, 0.0000)
Ca (0.5000, 0.5000, 0.5000)
H (0.0000, 0.0000, 0.5000)
H (0.0000, 0.5000, 0.0000)
H (0.5000, 0.0000, 0.0000)

Summary:
The space-group type is No. 221. The value obtained for the final energy is -18.7885 eV/atom. The calculation puts the magnetization at 0.0 μB/f.u. As for the density of states at the Fermi level: 0.36 states/eV/atom.

---

Entry from the Alexandria database: La4CoO8 at its PBEsol-relaxed geometry (SCAN).

abc: 5.2384 5.2384 13.1607
angles: 101.48 101.48 90.00
Fractional positions:
O (0.2549, 0.2549, 0.0000)
O (0.6698, 0.1698, 0.3395)
O (0.0928, 0.0928, 0.1857)
O (0.1572, 0.6572, 0.3143)
O (0.9951, 0.0049, 0.5000)
O (0.2549, 0.7451, 0.0000)
O (0.3428, 0.8428, 0.6857)
O (0.5802, 0.5802, 0.1605)
O (0.9072, 0.9072, 0.8143)
O (0.8302, 0.3302, 0.6605)
O (0.4198, 0.4198, 0.8395)
O (0.5049, 0.0049, 0.5000)
O (0.9951, 0.4951, 0.5000)
O (0.7451, 0.7451, 0.0000)
O (0.5049, 0.4951, 0.5000)
O (0.7451, 0.2549, 0.0000)
La (0.3159, 0.3159, 0.6318)
La (0.6841, 0.6841, 0.3682)
La (0.5659, 0.0659, 0.1318)
La (0.9341, 0.4341, 0.8682)
La (0.8177, 0.8177, 0.6354)
La (0.0677, 0.5677, 0.1354)
La (0.4323, 0.9323, 0.8646)
La (0.1823, 0.1823, 0.3646)
Co (0.5000, 0.5000, 0.0000)
Co (0.7500, 0.2500, 0.5000)

Summary:
For the energy relative to the lowest polymorph listed for this composition, the calculation gives 0.2 kJ/mol of atoms. The space-group type is No. 141. The calculation puts the magnetization at 1.0 μB/f.u. Its formation energy without anion corrections is -3151 meV per atom.

---

Entry from the Alexandria database: Ca2MgCu3 at its PBEsol-relaxed geometry (SCAN).

abc: 5.3577 5.3577 5.3577
angles: 61.13 61.13 61.13
Fractional positions:
Ca (0.1227, 0.1227, 0.1227)
Ca (0.8773, 0.8773, 0.8773)
Mg (0.5000, 0.5000, 0.5000)
Cu (0.5000, 0.0000, 0.5000)
Cu (0.5000, 0.5000, 0.0000)
Cu (0.0000, 0.5000, 0.5000)

Summary:
For the energy relative to the lowest polymorph listed for this composition, the calculation gives 0.4 kJ/mol of atoms. The space-group type is No. 166. The calculation puts the magnetization at 0.0 μB/f.u. As for the density of states at the Fermi level: 0.51 states/eV/atom.